MnNi2AgC: relaxed, PBE.

Output
The calculation puts the volume at 58.8 Å³ per cell. The formation energy from the elements comes out at 0.1426 eV per atom. The value obtained for the density of states at the Fermi level is 4.95 states/eV per cell.

Lattice parameters (Å, degrees): 3.876 3.876 3.913 90.00 90.00 90.00
Space group P4/mmm (No. 123)
Inequivalent atoms, fractional coordinates:
Mn  0.000  0.000  0.000 [1 per cell]
Ni  0.000  0.500  0.500 [2 per cell]
Ag  0.500  0.500  0.000 [1 per cell]
C  0.000  0.000  0.500 [1 per cell]